No. 1
Below is crystalline TlCdW at its relaxed geometry, with properties calculated at the PBE level.

Calculated values
**Crystal system**: orthorhombic
**Symmetry**: Imm2
**Spin magnetization**: 0.000 μB per formula unit
**E**: -13.2 eV for the cell shown
**Polymorph energy (0 for the lowest one)**: 236 meV per atom
**Formation energy**: 1.00 eV/atom

Unit cell a=5.6319 b=5.6319 c=5.6319 alpha=149.44 beta=137.25 gamma=53.46
Positions (direct):
Tl: 0.0000 0.0000 0.0000
Cd: 0.3168 0.3168 0.0000
W: 0.6693 0.6693 0.0000

***

No. 2
Below is crystalline La6GePt2Cl3 at its relaxed geometry, with properties calculated at the PBE level.

Calculated values
**Crystal system**: monoclinic
**Symmetry**: C2/m
**Spin magnetization**: 0.000 μB per formula unit
**E**: -68.2 eV for the cell shown
**Formation energy without anion corrections**: -1.369 eV per atom

Unit cell a=7.4755 b=7.4755 c=7.5032 alpha=99.74 beta=99.74 gamma=119.60
Positions (direct):
La: 0.0806 0.4221 0.7678
La: 0.2334 0.2334 0.2254
La: 0.4221 0.0806 0.7678
La: 0.5779 0.9194 0.2322
La: 0.7666 0.7666 0.7746
La: 0.9194 0.5779 0.2322
Ge: 0.5000 0.5000 0.0000
Pt: 0.1681 0.8319 0.0000
Pt: 0.8319 0.1681 0.0000
Cl: 0.0000 0.0000 0.5000
Cl: 0.3438 0.6562 0.5000
Cl: 0.6562 0.3438 0.5000